Entry 1:
{
  "formula": "SnW2N",
  "functional": "PBE",
  "state": "relaxed",
  "cell": [[5.111, 0.000, 0.000], [0.000, 5.111, 0.000], [2.556, 2.556, 5.822]],
  "species": ["Sn", "Sn", "W", "W", "W", "W", "N", "N"],
  "frac_coords": [[0.000, 0.000, 0.000], [0.750, 0.250, 0.500], [0.469, 0.125, 0.250], [0.281, 0.625, 0.250], [0.375, 0.531, 0.750], [0.875, 0.719, 0.750], [0.500, 0.500, 0.000], [0.250, 0.750, 0.500]],
  "e_above_lowest_polymorph_ev_per_atom": 0.000,
  "e_form_raw_ev_per_atom": 0.70
}

***

Entry 2:
{
  "formula": "Zn2SnWN4",
  "functional": "PBE",
  "state": "relaxed",
  "cell": [[5.104, 0.030, 0.000], [-0.393, 5.089, 0.000], [-2.355, -2.559, 4.384]],
  "species": ["Zn", "Zn", "Sn", "W", "N", "N", "N", "N"],
  "frac_coords": [[0.750, 0.250, 0.500], [0.250, 0.750, 0.500], [0.019, 0.019, 0.039], [0.496, 0.496, 0.991], [0.592, 0.592, 0.735], [0.426, 0.824, 0.250], [0.824, 0.426, 0.250], [0.144, 0.144, 0.735]],
  "e_form_raw_ev_per_atom": -0.01
}

***

Entry 3:
{
  "formula": "Y2SnN",
  "functional": "PBE",
  "state": "relaxed",
  "cell": [[3.158, 0.000, 0.000], [0.000, 3.158, 0.000], [0.000, 0.000, 7.774]],
  "species": ["Y", "Y", "Sn", "N"],
  "frac_coords": [[0.000, 0.000, 0.815], [0.000, 0.000, 0.185], [0.500, 0.500, 0.500], [0.500, 0.500, 0.000]],
  "e_form_raw_ev_per_atom": -0.61
}

***

Entry 4:
{
  "formula": "Y12Sn3N5",
  "functional": "PBE",
  "state": "relaxed",
  "cell": [[-1.640, -1.587, -13.360], [12.324, -4.352, 3.587], [-9.421, -7.175, 6.592]],
  "species": ["Sn", "Sn", "Sn", "Sn", "Sn", "Sn", "Sn", "Sn", "Sn", "Sn", "Sn", "Sn", "N", "N", "N", "N", "N", "N", "N", "N", "N", "N", "N", "N", "N", "N", "N", "N", "N", "N", "N", "N", "Y", "Y", "Y", "Y", "Y", "Y", "Y", "Y", "Y", "Y", "Y", "Y", "Y", "Y", "Y", "Y", "Y", "Y", "Y", "Y", "Y", "Y", "Y", "Y", "Y", "Y", "Y", "Y", "Y", "Y", "Y", "Y", "Y", "Y", "Y", "Y", "Y", "Y", "Y", "Y", "Y", "Y", "Y", "Y", "Y", "Y", "Y", "Y"],
  "frac_coords": [[0.750, 0.375, 0.125], [0.875, 0.750, 0.125], [0.375, 0.750, 0.625], [0.250, 0.125, 0.375], [0.875, 0.125, 0.250], [0.375, 0.625, 0.250], [0.625, 0.375, 0.750], [0.125, 0.875, 0.750], [0.750, 0.875, 0.625], [0.625, 0.250, 0.375], [0.125, 0.250, 0.875], [0.250, 0.625, 0.875], [0.125, 0.375, 0.250], [0.000, 0.500, 0.000], [0.000, 0.000, 0.000], [0.375, 0.250, 0.125], [0.500, 0.000, 0.500], [0.500, 0.500, 0.000], [0.125, 0.750, 0.375], [0.750, 0.125, 0.875], [0.750, 0.625, 0.375], [0.375, 0.125, 0.750], [0.625, 0.875, 0.250], [0.500, 0.500, 0.500], [0.500, 0.000, 0.000], [0.000, 0.000, 0.500], [0.250, 0.375, 0.625], [0.250, 0.875, 0.125], [0.000, 0.500, 0.500], [0.875, 0.250, 0.625], [0.625, 0.750, 0.875], [0.875, 0.625, 0.750], [0.697, 0.110, 0.012], [0.315, 0.512, 0.402], [0.988, 0.390, 0.303], [0.512, 0.197, 0.110], [0.587, 0.697, 0.685], [0.988, 0.598, 0.185], [0.315, 0.803, 0.413], [0.098, 0.913, 0.110], [0.598, 0.988, 0.685], [0.697, 0.587, 0.185], [0.803, 0.488, 0.390], [0.815, 0.902, 0.012], [0.110, 0.697, 0.512], [0.390, 0.402, 0.087], [0.087, 0.902, 0.390], [0.413, 0.110, 0.598], [0.087, 0.185, 0.197], [0.488, 0.685, 0.098], [0.815, 0.913, 0.303], [0.110, 0.413, 0.098], [0.390, 0.988, 0.803], [0.598, 0.610, 0.413], [0.902, 0.815, 0.512], [0.803, 0.315, 0.913], [0.402, 0.390, 0.587], [0.098, 0.185, 0.488], [0.197, 0.685, 0.087], [0.185, 0.087, 0.697], [0.610, 0.012, 0.197], [0.890, 0.587, 0.902], [0.512, 0.315, 0.902], [0.587, 0.890, 0.402], [0.913, 0.815, 0.803], [0.913, 0.098, 0.610], [0.890, 0.303, 0.488], [0.185, 0.098, 0.988], [0.610, 0.598, 0.913], [0.402, 0.012, 0.315], [0.303, 0.413, 0.815], [0.197, 0.512, 0.610], [0.902, 0.087, 0.890], [0.685, 0.197, 0.587], [0.488, 0.803, 0.890], [0.012, 0.402, 0.815], [0.413, 0.303, 0.315], [0.012, 0.610, 0.697], [0.685, 0.488, 0.598], [0.303, 0.890, 0.988]],
  "e_form_raw_ev_per_atom": -0.96
}

***

Entry 5:
{
  "formula": "Y2SnN",
  "functional": "PBE",
  "state": "relaxed",
  "cell": [[-6.187, 2.922, -1.247], [-3.120, -5.073, 3.593], [-4.307, 1.096, 4.539]],
  "species": ["Y", "Y", "Y", "Y", "Sn", "Sn", "N", "N"],
  "frac_coords": [[0.523, 0.125, 0.250], [0.227, 0.625, 0.250], [0.375, 0.477, 0.750], [0.875, 0.773, 0.750], [0.000, 0.000, 0.000], [0.750, 0.250, 0.500], [0.500, 0.500, 0.000], [0.250, 0.750, 0.500]],
  "e_form_raw_ev_per_atom": -0.90
}

***

Entry 6:
{
  "formula": "Y2SnN",
  "functional": "PBE",
  "state": "relaxed",
  "cell": [[-1.142, 3.148, -1.177], [-0.067, 0.674, -3.484], [-7.598, -1.484, -1.949]],
  "species": ["Y", "Y", "Sn", "N"],
  "frac_coords": [[0.776, 0.776, 0.671], [0.224, 0.224, 0.329], [0.000, 0.000, 0.000], [0.500, 0.500, 0.500]],
  "e_form_raw_ev_per_atom": -1.17
}

***

Entry 7:
{
  "formula": "YSnN3",
  "functional": "PBE",
  "state": "relaxed",
  "cell": [[-4.080, 0.093, 0.198], [-0.131, -3.997, -0.836], [0.175, -0.842, 3.994]],
  "species": ["Y", "Sn", "N", "N", "N"],
  "frac_coords": [[0.500, 0.500, 0.500], [0.000, 0.000, 0.000], [0.000, 0.500, 0.000], [0.000, 0.000, 0.500], [0.500, 0.000, 0.000]],
  "e_form_raw_ev_per_atom": 0.40
}

***

Entry 8:
{
  "formula": "Y2SnN",
  "functional": "PBE",
  "state": "relaxed",
  "cell": [[4.671, -0.335, 1.778], [1.202, -3.652, 3.211], [2.978, -3.749, -1.472]],
  "species": ["Y", "Y", "Sn", "N"],
  "frac_coords": [[0.250, 0.250, 0.250], [0.750, 0.750, 0.750], [0.500, 0.500, 0.500], [0.000, 0.000, 0.000]],
  "e_form_raw_ev_per_atom": 0.09
}

***

Entry 9:
{
  "formula": "Y4Sn2N",
  "functional": "PBE",
  "state": "relaxed",
  "cell": [[4.711, 0.000, 0.000], [0.000, 4.711, 0.000], [2.356, 2.356, 8.010]],
  "species": ["Y", "Y", "Y", "Y", "Sn", "Sn", "N"],
  "frac_coords": [[0.160, 0.160, 0.680], [0.840, 0.840, 0.320], [0.000, 0.500, 0.000], [0.500, 0.000, 0.000], [0.358, 0.358, 0.284], [0.642, 0.642, 0.716], [0.000, 0.000, 0.000]],
  "e_form_raw_ev_per_atom": -1.00
}

***

Entry 10:
{
  "formula": "YSnN3",
  "functional": "PBE",
  "state": "relaxed",
  "cell": [[4.455, 0.000, 0.000], [0.000, 4.455, 0.000], [0.000, 0.000, 4.455]],
  "species": ["Y", "Sn", "N", "N", "N"],
  "frac_coords": [[0.000, 0.000, 0.000], [0.500, 0.500, 0.500], [0.000, 0.500, 0.000], [0.000, 0.000, 0.500], [0.500, 0.000, 0.000]],
  "e_form_raw_ev_per_atom": 1.05
}

***

Entry 11:
{
  "formula": "ZnSnN2",
  "functional": "PBE",
  "state": "relaxed",
  "cell": [[-5.807, 0.863, -1.897], [-6.028, -0.913, 0.946], [-5.575, 2.413, 1.075]],
  "species": ["Zn", "Sn", "N", "N"],
  "frac_coords": [[0.000, 0.000, 0.000], [0.500, 0.500, 0.500], [0.895, 0.895, 0.895], [0.105, 0.105, 0.105]],
  "e_form_raw_ev_per_atom": 0.20
}

***

Entry 12:
{
  "formula": "Zn8SnN6",
  "functional": "PBE",
  "state": "relaxed",
  "cell": [[5.772, 0.000, 0.000], [-2.886, 4.999, 0.000], [0.000, 0.000, 14.850]],
  "species": ["Zn", "Zn", "Zn", "Zn", "Zn", "Zn", "Zn", "Zn", "Zn", "Zn", "Zn", "Zn", "Zn", "Zn", "Zn", "Zn", "Sn", "Sn", "N", "N", "N", "N", "N", "N", "N", "N", "N", "N", "N", "N"],
  "frac_coords": [[0.682, 0.682, 0.281], [0.673, 0.673, 0.646], [0.327, 0.327, 0.146], [0.318, 0.318, 0.781], [0.667, 0.333, 0.931], [0.667, 0.333, 0.431], [0.318, 0.000, 0.281], [0.327, 0.000, 0.646], [0.673, 0.000, 0.146], [0.000, 0.682, 0.781], [0.682, 0.000, 0.781], [0.000, 0.673, 0.146], [0.333, 0.667, 0.431], [0.333, 0.667, 0.931], [0.000, 0.327, 0.646], [0.000, 0.318, 0.281], [0.000, 0.000, 0.472], [0.000, 0.000, 0.972], [0.669, 0.669, 0.412], [0.331, 0.331, 0.912], [0.667, 0.333, 0.689], [0.000, 0.000, 0.716], [0.000, 0.000, 0.216], [0.667, 0.333, 0.189], [0.331, 0.000, 0.412], [0.000, 0.669, 0.912], [0.669, 0.000, 0.912], [0.333, 0.667, 0.189], [0.333, 0.667, 0.689], [0.000, 0.331, 0.412]],
  "e_form_raw_ev_per_atom": 0.23
}

***

Entry 13:
{
  "formula": "ZnSn2N3",
  "functional": "PBE",
  "state": "relaxed",
  "cell": [[5.955, -0.008, -1.022], [-3.236, 4.999, -1.022], [0.014, 0.026, 6.097]],
  "species": ["Zn", "Zn", "Sn", "Sn", "Sn", "Sn", "N", "N", "N", "N", "N", "N"],
  "frac_coords": [[0.096, 0.936, 0.513], [0.936, 0.096, 0.013], [0.590, 0.425, 0.005], [0.769, 0.259, 0.507], [0.425, 0.590, 0.505], [0.259, 0.769, 0.007], [0.054, 0.213, 0.379], [0.213, 0.054, 0.879], [0.888, 0.383, 0.884], [0.383, 0.888, 0.384], [0.556, 0.726, 0.882], [0.726, 0.556, 0.382]],
  "e_form_raw_ev_per_atom": 0.21
}

***

Entry 14:
{
  "formula": "ZnSnN2",
  "functional": "PBE",
  "state": "relaxed",
  "cell": [[4.803, 0.000, 0.000], [0.000, 4.803, 0.000], [2.401, 2.401, 4.840]],
  "species": ["Zn", "Zn", "Sn", "Sn", "N", "N", "N", "N"],
  "frac_coords": [[0.500, 0.500, 0.000], [0.250, 0.750, 0.500], [0.000, 0.000, 0.000], [0.750, 0.250, 0.500], [0.622, 0.125, 0.250], [0.128, 0.625, 0.250], [0.375, 0.378, 0.750], [0.875, 0.872, 0.750]],
  "e_form_raw_ev_per_atom": 0.04
}

***

Entry 15:
{
  "formula": "ZnSn2N2",
  "functional": "PBE",
  "state": "relaxed",
  "cell": [[4.853, 0.000, 0.000], [0.000, 4.853, 0.000], [2.427, 2.427, 3.765]],
  "species": ["Zn", "Sn", "Sn", "N", "N"],
  "frac_coords": [[0.000, 0.000, 0.000], [0.750, 0.250, 0.500], [0.250, 0.750, 0.500], [0.253, 0.253, 0.494], [0.747, 0.747, 0.506]],
  "e_above_lowest_polymorph_ev_per_atom": 0.365,
  "e_form_raw_ev_per_atom": 0.62
}

***

Entry 16:
{
  "formula": "ZnSnN2",
  "functional": "PBE",
  "state": "relaxed",
  "cell": [[-1.172, 0.252, -3.210], [-2.844, -1.674, -0.922], [-4.394, 3.913, 0.083]],
  "species": ["Zn", "Sn", "N", "N"],
  "frac_coords": [[0.244, 0.689, 0.165], [0.733, 0.178, 0.698], [0.116, 0.561, 0.550], [0.611, 0.056, 0.065]],
  "e_form_raw_ev_per_atom": 0.14
}

***

Entry 17:
{
  "formula": "Zn2SnN",
  "functional": "PBE",
  "state": "relaxed",
  "cell": [[-1.496, -0.008, -2.881], [-0.349, -2.780, -1.640], [-7.150, -2.112, 1.889]],
  "species": ["Zn", "Zn", "Sn", "N"],
  "frac_coords": [[0.121, 0.121, 0.637], [0.879, 0.879, 0.363], [0.000, 0.000, 0.000], [0.500, 0.500, 0.500]],
  "e_above_lowest_polymorph_ev_per_atom": 0.010,
  "e_form_raw_ev_per_atom": 0.20
}

***

Entry 18:
{
  "formula": "ZnSn3N",
  "functional": "PBE",
  "state": "relaxed",
  "cell": [[5.094, 0.000, 0.000], [0.000, 5.094, 0.000], [0.000, 0.000, 5.094]],
  "species": ["Zn", "Sn", "Sn", "Sn", "N"],
  "frac_coords": [[0.000, 0.000, 0.000], [0.000, 0.500, 0.000], [0.000, 0.000, 0.500], [0.500, 0.000, 0.000], [0.500, 0.500, 0.500]],
  "e_above_lowest_polymorph_ev_per_atom": 0.823,
  "e_form_raw_ev_per_atom": 1.38
}

***

Entry 19:
{
  "formula": "Zn4Sn2N",
  "functional": "PBE",
  "state": "relaxed",
  "cell": [[4.129, 0.000, 0.000], [0.000, 4.129, 0.000], [2.065, 2.065, 7.573]],
  "species": ["Zn", "Zn", "Zn", "Zn", "Sn", "Sn", "N"],
  "frac_coords": [[0.854, 0.854, 0.293], [0.146, 0.146, 0.707], [0.000, 0.500, 0.000], [0.500, 0.000, 0.000], [0.673, 0.673, 0.655], [0.327, 0.327, 0.345], [0.000, 0.000, 0.000]],
  "e_form_raw_ev_per_atom": 0.26
}

***

Entry 20:
{
  "formula": "ZnSn2N2",
  "functional": "PBE",
  "state": "relaxed",
  "cell": [[6.804, 0.000, 0.000], [0.000, 6.804, 0.000], [0.000, 0.000, 3.536]],
  "species": ["Zn", "Zn", "Sn", "Sn", "Sn", "Sn", "N", "N", "N", "N"],
  "frac_coords": [[0.000, 0.000, 0.000], [0.500, 0.500, 0.000], [0.148, 0.648, 0.500], [0.648, 0.852, 0.500], [0.852, 0.352, 0.500], [0.352, 0.148, 0.500], [0.268, 0.768, 0.000], [0.768, 0.732, 0.000], [0.732, 0.232, 0.000], [0.232, 0.268, 0.000]],
  "e_above_lowest_polymorph_ev_per_atom": 0.458,
  "e_form_raw_ev_per_atom": 0.71
}

***

Entry 21:
{
  "formula": "ZnSn2N2",
  "functional": "PBE",
  "state": "relaxed",
  "cell": [[3.354, 0.000, 0.000], [0.000, 3.354, 0.000], [0.000, 0.000, 7.945]],
  "species": ["Zn", "Sn", "Sn", "N", "N"],
  "frac_coords": [[0.000, 0.000, 0.000], [0.500, 0.500, 0.690], [0.500, 0.500, 0.310], [0.500, 0.000, 0.148], [0.000, 0.500, 0.852]],
  "e_above_lowest_polymorph_ev_per_atom": 0.000,
  "e_form_raw_ev_per_atom": 0.25
}

***

Entry 22:
{
  "formula": "ZnSnN2",
  "functional": "PBE",
  "state": "relaxed",
  "cell": [[0.000, 2.854, 2.854], [2.854, 0.000, 2.854], [2.854, 2.854, 0.000]],
  "species": ["Zn", "Sn", "N", "N"],
  "frac_coords": [[0.000, 0.000, 0.000], [0.500, 0.500, 0.500], [0.250, 0.250, 0.250], [0.750, 0.750, 0.750]],
  "e_form_raw_ev_per_atom": 1.20
}

***

| no. | uncorrected energy (Ry per atom) |
| --- | --- |
| 1 | -0.6512 |
| 2 | -0.4861 |
| 3 | -0.5087 |
| 4 | -0.5525 |
| 5 | -0.5304 |
| 6 | -0.5503 |
| 7 | -0.4916 |
| 8 | -0.4574 |
| 9 | -0.5164 |
| 10 | -0.4438 |
| 11 | -0.3880 |
| 12 | -0.2974 |
| 13 | -0.4041 |
| 14 | -0.3998 |
| 15 | -0.3359 |
| 16 | -0.3924 |
| 17 | -0.2584 |
| 18 | -0.2164 |
| 19 | -0.2056 |
| 20 | -0.3290 |
| 21 | -0.3627 |
| 22 | -0.3144 |